A | First-principles (GGA-PBE) data for a relaxed Tb2Y4Mg crystal, as listed in Alexandria.

Results
The symmetry is C2/m. The calculation puts the mass density at 5.2 g cm⁻³.

Cell lengths 8.507, 8.507, 8.592 Å; angles 116.35, 116.35, 23.60 degrees
Sites, in units of the cell vectors:
Tb  0.220  0.220  0.141
Tb  0.780  0.780  0.859
Y  0.080  0.080  0.702
Y  0.366  0.366  0.601
Y  0.634  0.634  0.399
Y  0.920  0.920  0.298
Mg  0.000  0.000  0.000

B | First-principles (GGA-PBE) data for a relaxed Tb2Y4Mg crystal, as listed in Alexandria.

Results
The symmetry is Ccce. The calculation puts the mass density at 5.1 g cm⁻³.

Cell lengths 12.075, 12.075, 6.726 Å; angles 90.00, 90.00, 112.41 degrees
Sites, in units of the cell vectors:
Tb  0.000  0.000  0.250
Tb  0.000  0.000  0.750
Tb  0.001  0.501  0.750
Tb  0.499  0.999  0.750
Tb  0.500  0.500  0.250
Tb  0.500  0.500  0.750
Tb  0.501  0.001  0.250
Tb  0.999  0.499  0.250
Y  0.054  0.293  0.501
Y  0.099  0.769  0.000
Y  0.207  0.446  0.001
Y  0.231  0.901  0.500
Y  0.269  0.599  0.500
Y  0.293  0.054  0.001
Y  0.401  0.731  0.000
Y  0.446  0.207  0.501
Y  0.554  0.793  0.499
Y  0.599  0.269  0.000
Y  0.707  0.946  0.999
Y  0.731  0.401  0.500
Y  0.769  0.099  0.500
Y  0.793  0.554  0.999
Y  0.901  0.231  0.000
Y  0.946  0.707  0.499
Mg  0.250  0.250  0.252
Mg  0.250  0.250  0.752
Mg  0.750  0.750  0.248
Mg  0.750  0.750  0.748

B is the least stable structure shown above.